[1]
Here is crystalline AcHg2Ge2 at its relaxed geometry from the Alexandria database. Energies are from PBE-GGA.

```
AcHg2Ge2
1.0
4.7358 0.0000 0.0000
0.0000 4.4974 0.0000
-2.3679 -2.2487 12.0334
Hg Ge Ac
4 4 2
Direct
0.9558 0.2058 0.9116
0.4516 0.7016 0.9031
0.0442 0.7942 0.0884
0.5484 0.2984 0.0969
0.3757 0.1257 0.7514
0.2712 0.0212 0.5424
0.6243 0.8743 0.2486
0.7288 0.9788 0.4576
0.1668 0.4168 0.3337
0.8332 0.5832 0.6663
```

Output
- total energy (eV/atom) = -3.0913
- calculated formation energy (eV/atom) = -0.302
- space-group type = Imma, No. 74

=====

[2]
Here is crystalline Ac3HgGe3 at its relaxed geometry from the Alexandria database. Energies are from PBE-GGA.

```
Ac3HgGe3
1.0
-6.1342 0.4666 1.8657
-2.0396 -7.8358 -4.7460
2.6908 -0.5167 8.9765
Ac Ge Hg
6 6 2
Direct
0.2500 0.6474 0.9481
0.7500 0.9481 0.3007
0.2500 0.0519 0.6993
0.7500 0.3526 0.0519
0.2500 0.3007 0.3526
0.7500 0.6993 0.6474
0.7500 0.0507 0.6813
0.2500 0.3694 0.0507
0.7500 0.3187 0.3694
0.2500 0.9493 0.3187
0.7500 0.6306 0.9493
0.2500 0.6813 0.6306
0.7500 0.3333 0.6667
0.2500 0.6667 0.3333
```

Output
- ΔE to the lowest computed polymorph (eV per atom) = 0.1213
- total energy (eV/atom) = -4.2773
- calculated formation energy (eV/atom) = -0.495
- space-group type = P6_3/m, No. 176

=====

[3]
Here is crystalline Ac5Hg4Ge at its relaxed geometry from the Alexandria database. Energies are from PBE-GGA.

```
Ac5Hg4Ge
1.0
-2.6623 -1.1352 -2.8308
2.9431 0.0293 -2.7797
3.9137 -19.0120 3.9433
Ac Hg Ge
5 4 1
Direct
0.5000 0.5000 0.5000
0.5000 0.5000 0.0867
0.5000 0.5000 0.7047
0.5000 0.5000 0.2953
0.5000 0.5000 0.9133
0.0000 0.0000 0.1953
0.0000 0.0000 0.3966
0.0000 0.0000 0.6034
0.0000 0.0000 0.8047
0.0000 0.0000 0.0000
```

Output
- total energy (eV/atom) = -3.1303
- calculated formation energy (eV/atom) = -0.494
- space-group type = P4/mmm, No. 123

=====

no.,size of the total moment (μB/cell)
1,0.0
2,0.0
3,0.6